[1]
VASP calculation (PBE) on a geometry-optimized Tm4Sc3Os2 structure.

Cell lengths 4.1389, 7.3725, 8.0407 Å; angles 108.71, 104.91, 90.00 degrees
Last column: nearest neighbours and their distance in Å.
Element x y z (fractional)
Tm1 0.2247 0.6696 0.4495  3 Os 2.91-2.99
Tm2 0.7753 0.3304 0.5505  3 Os 2.91-2.99
Tm3 0.4118 0.1552 0.8236  2 Os 3.06-3.09, 6 Sc 3.21-3.43
Tm4 0.5882 0.8448 0.1764  2 Os 3.06-3.09, 6 Sc 3.21-3.43
Sc1 0.0000 0.5000 0.0000  4 Os 2.78, 2 Sc 3.03
Sc2 0.0932 0.1983 0.1864  2 Os 2.69
Sc3 0.9068 0.8017 0.8136  2 Os 2.69
Os1 0.6068 0.4404 0.2137  4 Sc 2.69-2.78, 3 Tm 2.91-2.99
Os2 0.3932 0.5596 0.7863  4 Sc 2.69-2.78, 3 Tm 2.91-2.99

Values from the calculation:
- Final energy: -6.802 eV per atom
- V: 223.6 Å³/f.u.

=====

[2]
VASP calculation (PBE) on a geometry-optimized Tm2ScOs2 structure.

Cell lengths 4.2868, 5.5698, 5.5709 Å; angles 63.71, 67.37, 67.37 degrees
Last column: nearest neighbours and their distance in Å.
Element x y z (fractional)
Sc1 0.5000 0.5000 0.0000  4 Os 2.73
Os1 0.9999 0.7868 0.7133  1 Os 2.51, 2 Sc 2.73
Os2 0.0001 0.2132 0.2867  1 Os 2.51, 2 Sc 2.73
Tm1 0.2936 0.2063 0.7064  6 Os 3.00-3.03, 2 Sc 3.28
Tm2 0.7063 0.7937 0.2936  6 Os 3.00-3.03, 2 Sc 3.28

Values from the calculation:
- Final energy: -7.869 eV per atom
- V: 106.3 Å³/f.u.

=====

[3]
VASP calculation (PBE) on a geometry-optimized TmSc2Os structure.

Cell lengths 5.8800, 7.2900, 8.4407 Å; angles 90.00, 90.00, 90.00 degrees
Last column: nearest neighbours and their distance in Å.
Element x y z (fractional)
Os1 0.9374 0.6192 0.7500  6 Sc 2.71-2.94, 2 Tm 2.74-2.84
Os2 0.4374 0.8808 0.2500  6 Sc 2.71-2.94, 2 Tm 2.74-2.84
Os3 0.5626 0.1192 0.7500  6 Sc 2.71-2.94, 2 Tm 2.74-2.84
Os4 0.0626 0.3808 0.2500  6 Sc 2.71-2.94, 2 Tm 2.74-2.84
Tm1 0.3825 0.4663 0.7500  2 Os 2.74-2.84
Tm2 0.1175 0.9663 0.7500  2 Os 2.74-2.84
Tm3 0.8825 0.0337 0.2500  2 Os 2.74-2.84
Tm4 0.6175 0.5337 0.2500  2 Os 2.74-2.84
Sc1 0.3480 0.1724 0.4382  3 Os 2.71-2.94
Sc2 0.8480 0.3276 0.5618  3 Os 2.71-2.94
Sc3 0.6520 0.8276 0.5618  3 Os 2.71-2.94
Sc4 0.8480 0.3276 0.9382  3 Os 2.71-2.94
Sc5 0.3480 0.1724 0.0618  3 Os 2.71-2.94
Sc6 0.1520 0.6724 0.0618  3 Os 2.71-2.94
Sc7 0.1520 0.6724 0.4382  3 Os 2.71-2.94
Sc8 0.6520 0.8276 0.9382  3 Os 2.71-2.94

Values from the calculation:
- Final energy: -7.403 eV per atom
- V: 90.5 Å³/f.u.

=====

[4]
VASP calculation (PBE) on a geometry-optimized TmSc3Os structure.

Cell lengths 6.8652, 6.8652, 6.8906 Å; angles 105.34, 115.06, 108.02 degrees
Last column: nearest neighbours and their distance in Å.
Element x y z (fractional)
Tm1 0.2790 0.9452 0.2242  1 Os 2.69
Tm2 0.7210 0.0548 0.7758  1 Os 2.69
Sc1 0.8565 0.0780 0.3185  2 Os 2.56-2.86
Sc2 0.2404 0.4620 0.3185  2 Os 2.56-2.86
Sc3 0.7596 0.5380 0.6815  2 Os 2.56-2.86
Sc4 0.6980 0.4400 0.1379  2 Os 2.59-2.85
Sc5 0.3020 0.5600 0.8621  2 Os 2.59-2.85
Sc6 0.1435 0.9220 0.6815  2 Os 2.56-2.86
Os1 0.3744 0.2560 0.6304  6 Sc 2.56-2.86, 1 Tm 2.69
Os2 0.6256 0.7440 0.3696  6 Sc 2.56-2.86, 1 Tm 2.69

Values from the calculation:
- Final energy: -7.099 eV per atom
- V: 124.3 Å³/f.u.

=====

[5]
VASP calculation (PBE) on a geometry-optimized Tm2Sc3Os2 structure.

Cell lengths 4.0496, 5.6902, 7.7770 Å; angles 110.41, 90.00, 110.85 degrees
Last column: nearest neighbours and their distance in Å.
Element x y z (fractional)
Sc1 0.5000 0.0000 0.0000  4 Os 2.75
Sc2 0.6312 0.2624 0.4320  3 Os 2.72-2.84
Sc3 0.3688 0.7376 0.5680  3 Os 2.72-2.84
Os1 0.8436 0.6872 0.7867  5 Sc 2.72-2.84, 2 Tm 2.89
Os2 0.1564 0.3128 0.2133  5 Sc 2.72-2.84, 2 Tm 2.89
Tm1 0.1555 0.3110 0.8055  3 Os 2.89-3.17
Tm2 0.8445 0.6890 0.1945  3 Os 2.89-3.17

Values from the calculation:
- Final energy: -7.529 eV per atom
- V: 155.4 Å³/f.u.

=====

[6]
VASP calculation (PBE) on a geometry-optimized Tm3Sc7Os4 structure.

Cell lengths 4.1020, 8.5499, 9.6366 Å; angles 70.94, 77.71, 76.12 degrees
Last column: nearest neighbours and their distance in Å.
Element x y z (fractional)
Sc1 0.1686 0.5860 0.0768  3 Os 2.66-2.89
Sc2 0.8314 0.4140 0.9232  3 Os 2.66-2.89
Sc3 0.3196 0.8445 0.5164  4 Os 2.72-2.94, 1 Sc 3.03
Sc4 0.4895 0.2503 0.7707  3 Os 2.68-2.76
Sc5 0.0000 0.0000 0.0000  2 Os 2.85
Sc6 0.6804 0.1555 0.4836  4 Os 2.72-2.94, 1 Sc 3.03
Sc7 0.5105 0.7497 0.2293  3 Os 2.68-2.76
Os1 0.6767 0.4172 0.2294  5 Sc 2.66-2.89, 2 Tm 2.91
Os2 0.8884 0.9072 0.3160  6 Sc 2.68-2.94, 2 Tm 2.99
Os3 0.1116 0.0928 0.6840  6 Sc 2.68-2.94, 2 Tm 2.99
Os4 0.3233 0.5828 0.7706  5 Sc 2.66-2.89, 2 Tm 2.91
Tm1 0.6920 0.8226 0.7934  4 Os 2.91-2.99, 1 Sc 3.25
Tm2 0.3080 0.1774 0.2066  4 Os 2.91-2.99, 1 Sc 3.25
Tm3 0.0000 0.5000 0.5000  6 Os 3.32-3.49, 8 Sc 3.45-3.56

Values from the calculation:
- Final energy: -7.583 eV per atom
- V: 306.8 Å³/f.u.

=====

| no. | spin magnetization (μB/atom) | D(E_F) (states/eV/cell) | formation energy (eV/atom) |
| --- | --- | --- | --- |
| 1 | 0.000 | 7.479 | -0.2090 |
| 2 | 0.000 | 4.449 | -0.3220 |
| 3 | 0.000 | 17.118 | -0.3122 |
| 4 | 0.056 | 13.596 | -0.1603 |
| 5 | 0.000 | 5.976 | -0.3292 |
| 6 | 0.000 | 12.353 | -0.2503 |